1.
A plane-wave DFT calculation with GGA-PBE was carried out for a relaxed structure of Tb4PrIn4.

Cell: 7.294 7.294 10.625 Å, 90.00 90.00 90.00°
Fractional positions:
Tb: 0.018 0.250 0.161
Tb: 0.250 0.018 0.661
Tb: 0.250 0.482 0.661
Tb: 0.482 0.250 0.161
Tb: 0.518 0.750 0.839
Tb: 0.750 0.518 0.339
Tb: 0.750 0.982 0.339
Tb: 0.982 0.750 0.839
Pr: 0.250 0.750 0.250
Pr: 0.750 0.250 0.750
In: 0.037 0.250 0.459
In: 0.250 0.037 0.959
In: 0.250 0.463 0.959
In: 0.463 0.250 0.459
In: 0.537 0.750 0.541
In: 0.750 0.537 0.041
In: 0.750 0.963 0.041
In: 0.963 0.750 0.541

Results
formation energy from the elements = -184.6 meV/atom

=====

2.
A plane-wave DFT calculation with GGA-PBE was carried out for a relaxed structure of Tb2Pr2In.

Cell: 9.310 9.310 9.310 Å, 152.49 152.49 39.30°
Fractional positions:
Tb: 0.086 0.086 0.000
Tb: 0.914 0.914 0.000
Pr: 0.250 0.750 0.500
Pr: 0.750 0.250 0.500
In: 0.500 0.500 0.000

Results
formation energy from the elements = 313.2 meV/atom

=====

3.
A plane-wave DFT calculation with GGA-PBE was carried out for a relaxed structure of Tb3Pr4In.

Cell: 11.442 7.235 6.285 Å, 90.00 90.00 90.00°
Fractional positions:
Tb: 0.000 0.125 0.000
Tb: 0.246 0.114 0.319
Tb: 0.254 0.886 0.819
Tb: 0.500 0.875 0.500
Tb: 0.746 0.886 0.819
Tb: 0.754 0.114 0.319
Pr: 0.000 0.371 0.523
Pr: 0.000 0.633 0.966
Pr: 0.228 0.636 0.336
Pr: 0.272 0.364 0.836
Pr: 0.500 0.367 0.466
Pr: 0.500 0.629 0.023
Pr: 0.728 0.364 0.836
Pr: 0.772 0.636 0.336
In: 0.000 0.896 0.501
In: 0.500 0.104 0.001

Results
formation energy from the elements = -94.1 meV/atom
distance to the lowest polymorph of the same formula = 0.0000 eV per atom

=====

Q: Which size of the total moment values were calculated for the entries above? A: 0.00, 0.00, 0.00, in μB per formula unit.